(1)
# NaCeMg2 (GGA-PBE, relaxed)
data_NaCeMg2
_symmetry_space_group_name_H-M 'P 4/m m m'
_symmetry_Int_Tables_number 123
_symmetry_space_group_name_Hall '-P 4 2'
_cell_length_a 5.779
_cell_length_b 5.779
_cell_length_c 3.397
_cell_angle_alpha 90.00
_cell_angle_beta 90.00
_cell_angle_gamma 90.00
loop_
_atom_site_label
_atom_site_type_symbol
_atom_site_fract_x
_atom_site_fract_y
_atom_site_fract_z
_atom_site_occupancy
Na1 Na 0.000 0.000 0.000 1
Ce1 Ce 0.500 0.500 0.000 1
Mg1 Mg 0.000 0.500 0.500 1
# Volume in A^3/atom: 28.37
# Energy relative to the lowest polymorph listed for this composition in eV per atom: 0.084
# ΔH_f (0 K) in eV/atom: 0.160


(2)
# NaCeMg4 (GGA-PBE, relaxed)
data_NaCeMg4
_symmetry_space_group_name_H-M 'F -4 3 m'
_symmetry_Int_Tables_number 216
_symmetry_space_group_name_Hall 'F -4 2 3'
_cell_length_a 8.677
_cell_length_b 8.677
_cell_length_c 8.677
_cell_angle_alpha 90.00
_cell_angle_beta 90.00
_cell_angle_gamma 90.00
loop_
_atom_site_label
_atom_site_type_symbol
_atom_site_fract_x
_atom_site_fract_y
_atom_site_fract_z
_atom_site_occupancy
Na1 Na 0.000 0.000 0.000 1
Ce1 Ce 0.250 0.250 0.750 1
Mg1 Mg 0.124 0.124 0.376 1
# Volume in A^3/atom: 27.22
# ΔH_f (0 K) in eV/atom: 0.109


(3)
# NaCeMg (GGA-PBE, relaxed)
data_NaCeMg
_symmetry_space_group_name_H-M 'R -3 m'
_symmetry_Int_Tables_number 166
_symmetry_space_group_name_Hall '-R 3 2"'
_cell_length_a 3.2364
_cell_length_b 3.2364
_cell_length_c 54.8040
_cell_angle_alpha 90.00
_cell_angle_beta 90.00
_cell_angle_gamma 120.00
loop_
_atom_site_label
_atom_site_type_symbol
_atom_site_fract_x
_atom_site_fract_y
_atom_site_fract_z
_atom_site_occupancy
Na1 Na 0.0000 0.0000 0.1957 1
Ce1 Ce 0.0000 0.0000 0.3602 1
Mg1 Mg 0.0000 0.0000 0.2541 1
# Volume in A^3/atom: 27.62
# ΔH_f (0 K) in eV/atom: 0.116


(4)
# NaCeMg2 (GGA-PBE, relaxed)
data_NaCeMg2
_symmetry_space_group_name_H-M 'P 4/m m m'
_symmetry_Int_Tables_number 123
_symmetry_space_group_name_Hall '-P 4 2'
_cell_length_a 3.223
_cell_length_b 3.223
_cell_length_c 10.397
_cell_angle_alpha 90.00
_cell_angle_beta 90.00
_cell_angle_gamma 90.00
loop_
_atom_site_label
_atom_site_type_symbol
_atom_site_fract_x
_atom_site_fract_y
_atom_site_fract_z
_atom_site_occupancy
Na1 Na 0.000 0.000 0.000 1
Ce1 Ce 0.000 0.000 0.500 1
Mg1 Mg 0.500 0.500 0.256 1
# Volume in A^3/atom: 27.00
# Energy relative to the lowest polymorph listed for this composition in eV per atom: 0.000
# ΔH_f (0 K) in eV/atom: 0.076


(5)
# NaCeMg6 (GGA-PBE, relaxed)
data_NaCeMg6
_symmetry_space_group_name_H-M 'A m m 2'
_symmetry_Int_Tables_number 38
_symmetry_space_group_name_Hall 'A 2 -2'
_cell_length_a 5.071
_cell_length_b 7.857
_cell_length_c 10.563
_cell_angle_alpha 90.00
_cell_angle_beta 90.00
_cell_angle_gamma 90.00
loop_
_atom_site_label
_atom_site_type_symbol
_atom_site_fract_x
_atom_site_fract_y
_atom_site_fract_z
_atom_site_occupancy
Na1 Na 0.000 0.000 0.000 1
Ce1 Ce 0.000 0.000 0.570 1
Mg1 Mg 0.000 0.201 0.286 1
Mg2 Mg 0.500 0.000 0.362 1
Mg3 Mg 0.500 0.000 0.798 1
Mg4 Mg 0.500 0.216 0.088 1
# Volume in A^3/atom: 26.31
# Energy relative to the lowest polymorph listed for this composition in eV per atom: 0.000
# ΔH_f (0 K) in eV/atom: 0.110


(6)
# Na4Ce3MgO8 (GGA-PBE, relaxed)
data_Na4Ce3MgO8
_symmetry_space_group_name_H-M 'R -3 m'
_symmetry_Int_Tables_number 166
_symmetry_space_group_name_Hall '-R 3 2"'
_cell_length_a 6.9486
_cell_length_b 6.9486
_cell_length_c 16.7630
_cell_angle_alpha 90.00
_cell_angle_beta 90.00
_cell_angle_gamma 120.00
loop_
_atom_site_label
_atom_site_type_symbol
_atom_site_fract_x
_atom_site_fract_y
_atom_site_fract_z
_atom_site_occupancy
Na1 Na 0.0000 0.0000 0.0000 1
Na2 Na 0.0000 0.5000 0.0000 1
Ce1 Ce 0.0000 0.5000 0.5000 1
Mg1 Mg 0.0000 0.0000 0.5000 1
O1 O 0.0000 0.0000 0.2403 1
O2 O 0.0063 0.5031 0.2369 1
# Volume in A^3/atom: 14.60
# Raw formation energy in eV per atom: -2.5363